#one
# KTaCu2 (PBE, optimized geometry)
# - V: 21.24 Å³ per atom
# - Size of the total moment: 0.00 μB per formula unit
data_KTaCu2
_symmetry_space_group_name_H-M 'P 1'
_symmetry_Int_Tables_number 1
_cell_length_a 4.389
_cell_length_b 7.272
_cell_length_c 7.272
_cell_angle_alpha 21.47
_cell_angle_beta 90.00
_cell_angle_gamma 90.00
loop_
_symmetry_equiv_pos_as_xyz
'x,y,z'
loop_
_atom_site_label
_atom_site_type_symbol
_atom_site_fract_x
_atom_site_fract_y
_atom_site_fract_z
K1 K 0.000 0.000 0.000
Ta1 Ta 0.500 0.304 0.304
Cu1 Cu 0.000 0.741 0.741
Cu2 Cu 0.500 0.647 0.647

***

#two
# KTaCu2 (PBE, optimized geometry)
# - V: 18.82 Å³ per atom
# - Size of the total moment: 0.00 μB per formula unit
data_KTaCu2
_symmetry_space_group_name_H-M 'P 1'
_symmetry_Int_Tables_number 1
_cell_length_a 4.739
_cell_length_b 4.739
_cell_length_c 4.739
_cell_angle_alpha 60.00
_cell_angle_beta 60.00
_cell_angle_gamma 60.00
loop_
_symmetry_equiv_pos_as_xyz
'x,y,z'
loop_
_atom_site_label
_atom_site_type_symbol
_atom_site_fract_x
_atom_site_fract_y
_atom_site_fract_z
K1 K 0.000 0.000 0.000
Ta1 Ta 0.500 0.500 0.500
Cu1 Cu 0.250 0.250 0.250
Cu2 Cu 0.750 0.750 0.750

***

List of relative energies, unit eV/atom: #one 0.000; #two 0.528

***

#one
# KTaCu2 (PBE, optimized geometry)
# - V: 23.70 Å³ per atom
# - Size of the total moment: 1.06 μB per formula unit
data_KTaCu2
_symmetry_space_group_name_H-M 'P 1'
_symmetry_Int_Tables_number 1
_cell_length_a 6.272
_cell_length_b 6.272
_cell_length_c 6.272
_cell_angle_alpha 108.05
_cell_angle_beta 108.05
_cell_angle_gamma 112.36
loop_
_symmetry_equiv_pos_as_xyz
'x,y,z'
loop_
_atom_site_label
_atom_site_type_symbol
_atom_site_fract_x
_atom_site_fract_y
_atom_site_fract_z
K1 K 0.000 0.000 0.000
K2 K 0.750 0.250 0.500
Ta1 Ta 0.250 0.750 0.500
Ta2 Ta 0.500 0.500 0.000
Cu1 Cu 0.182 0.125 0.557
Cu2 Cu 0.375 0.818 0.943
Cu3 Cu 0.568 0.625 0.443
Cu4 Cu 0.875 0.432 0.057

***

#two
# KTaCu2 (PBE, optimized geometry)
# - V: 17.14 Å³ per atom
# - Size of the total moment: 0.00 μB per formula unit
data_KTaCu2
_symmetry_space_group_name_H-M 'P 1'
_symmetry_Int_Tables_number 1
_cell_length_a 4.594
_cell_length_b 4.594
_cell_length_c 4.594
_cell_angle_alpha 60.00
_cell_angle_beta 60.00
_cell_angle_gamma 60.00
loop_
_symmetry_equiv_pos_as_xyz
'x,y,z'
loop_
_atom_site_label
_atom_site_type_symbol
_atom_site_fract_x
_atom_site_fract_y
_atom_site_fract_z
K1 K 0.000 0.000 0.000
Ta1 Ta 0.750 0.750 0.750
Cu1 Cu 0.250 0.250 0.250
Cu2 Cu 0.500 0.500 0.500

***

#three
# KTaCu2 (PBE, optimized geometry)
# - V: 19.16 Å³ per atom
# - Size of the total moment: 0.08 μB per formula unit
data_KTaCu2
_symmetry_space_group_name_H-M 'P 1'
_symmetry_Int_Tables_number 1
_cell_length_a 2.875
_cell_length_b 2.875
_cell_length_c 9.274
_cell_angle_alpha 90.00
_cell_angle_beta 90.00
_cell_angle_gamma 90.00
loop_
_symmetry_equiv_pos_as_xyz
'x,y,z'
loop_
_atom_site_label
_atom_site_type_symbol
_atom_site_fract_x
_atom_site_fract_y
_atom_site_fract_z
K1 K 0.000 0.000 0.000
Ta1 Ta 0.500 0.500 0.357
Cu1 Cu 0.000 0.000 0.555
Cu2 Cu 0.500 0.500 0.711

***

List of relative energies, unit eV/atom: #one 0.608; #two 0.710; #three 0.000

***

#one
# KCu3Tc (PBE, optimized geometry)
# - V: 21.01 Å³ per atom
# - Size of the total moment: 3.00 μB per formula unit
data_KCu3Tc
_symmetry_space_group_name_H-M 'P 1'
_symmetry_Int_Tables_number 1
_cell_length_a 4.718
_cell_length_b 4.718
_cell_length_c 4.718
_cell_angle_alpha 90.00
_cell_angle_beta 90.00
_cell_angle_gamma 90.00
loop_
_symmetry_equiv_pos_as_xyz
'x,y,z'
loop_
_atom_site_label
_atom_site_type_symbol
_atom_site_fract_x
_atom_site_fract_y
_atom_site_fract_z
K1 K 0.000 0.000 0.000
Cu1 Cu 0.000 0.000 0.500
Cu2 Cu 0.000 0.500 0.000
Cu3 Cu 0.500 0.000 0.000
Tc1 Tc 0.500 0.500 0.500

***

#two
# KCu3Tc (PBE, optimized geometry)
# - V: 22.78 Å³ per atom
# - Size of the total moment: 2.07 μB per formula unit
data_KCu3Tc
_symmetry_space_group_name_H-M 'P 1'
_symmetry_Int_Tables_number 1
_cell_length_a 4.848
_cell_length_b 4.848
_cell_length_c 4.848
_cell_angle_alpha 90.00
_cell_angle_beta 90.00
_cell_angle_gamma 90.00
loop_
_symmetry_equiv_pos_as_xyz
'x,y,z'
loop_
_atom_site_label
_atom_site_type_symbol
_atom_site_fract_x
_atom_site_fract_y
_atom_site_fract_z
K1 K 0.000 0.000 0.000
Cu1 Cu 0.000 0.500 0.500
Cu2 Cu 0.500 0.000 0.500
Cu3 Cu 0.500 0.500 0.000
Tc1 Tc 0.500 0.500 0.500

***

List of relative energies, unit eV/atom: #one 1.193; #two 0.000

***

#one
# KCuTe3 (PBE, optimized geometry)
# - V: 41.37 Å³ per atom
# - Size of the total moment: 0.00 μB per formula unit
data_KCuTe3
_symmetry_space_group_name_H-M 'P 1'
_symmetry_Int_Tables_number 1
_cell_length_a 5.914
_cell_length_b 5.914
_cell_length_c 5.914
_cell_angle_alpha 90.00
_cell_angle_beta 90.00
_cell_angle_gamma 90.00
loop_
_symmetry_equiv_pos_as_xyz
'x,y,z'
loop_
_atom_site_label
_atom_site_type_symbol
_atom_site_fract_x
_atom_site_fract_y
_atom_site_fract_z
K1 K 0.000 0.000 0.000
Cu1 Cu 0.500 0.500 0.500
Te1 Te 0.000 0.000 0.500
Te2 Te 0.000 0.500 0.000
Te3 Te 0.500 0.000 0.000

***

#two
# KCuTe3 (PBE, optimized geometry)
# - V: 30.39 Å³ per atom
# - Size of the total moment: 0.00 μB per formula unit
data_KCuTe3
_symmetry_space_group_name_H-M 'P 1'
_symmetry_Int_Tables_number 1
_cell_length_a 5.506
_cell_length_b 5.506
_cell_length_c 5.506
_cell_angle_alpha 102.89
_cell_angle_beta 102.89
_cell_angle_gamma 102.89
loop_
_symmetry_equiv_pos_as_xyz
'x,y,z'
loop_
_atom_site_label
_atom_site_type_symbol
_atom_site_fract_x
_atom_site_fract_y
_atom_site_fract_z
K1 K 0.000 0.000 0.000
Cu1 Cu 0.499 0.499 0.499
Te1 Te 0.000 0.500 0.500
Te2 Te 0.500 0.000 0.500
Te3 Te 0.500 0.500 0.000

***

#three
# KCuTe3 (PBE, optimized geometry)
# - V: 34.91 Å³ per atom
# - Size of the total moment: 0.00 μB per formula unit
data_KCuTe3
_symmetry_space_group_name_H-M 'P 1'
_symmetry_Int_Tables_number 1
_cell_length_a 6.555
_cell_length_b 6.972
_cell_length_c 8.671
_cell_angle_alpha 69.57
_cell_angle_beta 83.40
_cell_angle_gamma 70.04
loop_
_symmetry_equiv_pos_as_xyz
'x,y,z'
loop_
_atom_site_label
_atom_site_type_symbol
_atom_site_fract_x
_atom_site_fract_y
_atom_site_fract_z
K1 K 0.172 0.224 0.255
K2 K 0.828 0.776 0.745
Cu1 Cu 0.431 0.286 0.717
Cu2 Cu 0.569 0.714 0.283
Te1 Te 0.181 0.060 0.777
Te2 Te 0.317 0.722 0.073
Te3 Te 0.395 0.690 0.576
Te4 Te 0.605 0.310 0.424
Te5 Te 0.683 0.278 0.927
Te6 Te 0.819 0.940 0.223

***

List of relative energies, unit eV/atom: #one 1.503; #two 0.082; #three 0.000

***

#one
# KCu3Te3 (PBE, optimized geometry)
# - V: 24.71 Å³ per atom
# - Size of the total moment: 0.00 μB per formula unit
data_KCu3Te3
_symmetry_space_group_name_H-M 'P 1'
_symmetry_Int_Tables_number 1
_cell_length_a 9.743
_cell_length_b 9.743
_cell_length_c 4.208
_cell_angle_alpha 90.00
_cell_angle_beta 90.00
_cell_angle_gamma 120.00
loop_
_symmetry_equiv_pos_as_xyz
'x,y,z'
loop_
_atom_site_label
_atom_site_type_symbol
_atom_site_fract_x
_atom_site_fract_y
_atom_site_fract_z
K1 K 0.333 0.667 0.250
K2 K 0.667 0.333 0.750
Cu1 Cu 0.027 0.174 0.250
Cu2 Cu 0.147 0.973 0.250
Cu3 Cu 0.174 0.147 0.750
Cu4 Cu 0.826 0.853 0.250
Cu5 Cu 0.853 0.027 0.750
Cu6 Cu 0.973 0.826 0.750
Te1 Te 0.043 0.352 0.750
Te2 Te 0.309 0.957 0.750
Te3 Te 0.352 0.309 0.250
Te4 Te 0.648 0.691 0.750
Te5 Te 0.691 0.043 0.250
Te6 Te 0.957 0.648 0.250

***

#two
# KCu3Te3 (PBE, optimized geometry)
# - V: 27.95 Å³ per atom
# - Size of the total moment: 0.00 μB per formula unit
data_KCu3Te3
_symmetry_space_group_name_H-M 'P 1'
_symmetry_Int_Tables_number 1
_cell_length_a 7.315
_cell_length_b 7.315
_cell_length_c 7.315
_cell_angle_alpha 90.00
_cell_angle_beta 90.00
_cell_angle_gamma 90.00
loop_
_symmetry_equiv_pos_as_xyz
'x,y,z'
loop_
_atom_site_label
_atom_site_type_symbol
_atom_site_fract_x
_atom_site_fract_y
_atom_site_fract_z
K1 K 0.000 0.000 0.000
K2 K 0.500 0.500 0.500
Cu1 Cu 0.000 0.250 0.500
Cu2 Cu 0.000 0.750 0.500
Cu3 Cu 0.250 0.500 0.000
Cu4 Cu 0.500 0.000 0.250
Cu5 Cu 0.500 0.000 0.750
Cu6 Cu 0.750 0.500 0.000
Te1 Te 0.000 0.500 0.250
Te2 Te 0.000 0.500 0.750
Te3 Te 0.250 0.000 0.500
Te4 Te 0.500 0.250 0.000
Te5 Te 0.500 0.750 0.000
Te6 Te 0.750 0.000 0.500

***

List of relative energies, unit eV/atom: #one 0.098; #two 0.000

***

#one
# KTiCu2 (PBE, optimized geometry)
# - V: 19.37 Å³ per atom
# - Size of the total moment: 0.01 μB per formula unit
data_KTiCu2
_symmetry_space_group_name_H-M 'P 1'
_symmetry_Int_Tables_number 1
_cell_length_a 4.785
_cell_length_b 4.785
_cell_length_c 4.785
_cell_angle_alpha 60.00
_cell_angle_beta 60.00
_cell_angle_gamma 60.00
loop_
_symmetry_equiv_pos_as_xyz
'x,y,z'
loop_
_atom_site_label
_atom_site_type_symbol
_atom_site_fract_x
_atom_site_fract_y
_atom_site_fract_z
K1 K 0.000 0.000 0.000
Ti1 Ti 0.500 0.500 0.500
Cu1 Cu 0.250 0.250 0.250
Cu2 Cu 0.750 0.750 0.750

***

#two
# KTiCu2 (PBE, optimized geometry)
# - V: 24.00 Å³ per atom
# - Size of the total moment: 2.02 μB per formula unit
data_KTiCu2
_symmetry_space_group_name_H-M 'P 1'
_symmetry_Int_Tables_number 1
_cell_length_a 6.308
_cell_length_b 6.308
_cell_length_c 6.308
_cell_angle_alpha 106.89
_cell_angle_beta 106.89
_cell_angle_gamma 114.77
loop_
_symmetry_equiv_pos_as_xyz
'x,y,z'
loop_
_atom_site_label
_atom_site_type_symbol
_atom_site_fract_x
_atom_site_fract_y
_atom_site_fract_z
K1 K 0.000 0.000 0.000
K2 K 0.750 0.250 0.500
Ti1 Ti 0.250 0.750 0.500
Ti2 Ti 0.500 0.500 0.000
Cu1 Cu 0.187 0.625 0.062
Cu2 Cu 0.375 0.437 0.562
Cu3 Cu 0.563 0.125 0.938
Cu4 Cu 0.875 0.813 0.438

***

List of relative energies, unit eV/atom: #one 0.000; #two 0.033

***

#one
# KTi2Cu (PBE, optimized geometry)
# - V: 19.08 Å³ per atom
# - Size of the total moment: 1.96 μB per formula unit
data_KTi2Cu
_symmetry_space_group_name_H-M 'P 1'
_symmetry_Int_Tables_number 1
_cell_length_a 4.761
_cell_length_b 4.761
_cell_length_c 4.761
_cell_angle_alpha 60.00
_cell_angle_beta 60.00
_cell_angle_gamma 60.00
loop_
_symmetry_equiv_pos_as_xyz
'x,y,z'
loop_
_atom_site_label
_atom_site_type_symbol
_atom_site_fract_x
_atom_site_fract_y
_atom_site_fract_z
K1 K 0.000 0.000 0.000
Ti1 Ti 0.250 0.250 0.250
Ti2 Ti 0.750 0.750 0.750
Cu1 Cu 0.500 0.500 0.500

***

#two
# KTi2Cu (PBE, optimized geometry)
# - V: 26.25 Å³ per atom
# - Size of the total moment: 0.00 μB per formula unit
data_KTi2Cu
_symmetry_space_group_name_H-M 'P 1'
_symmetry_Int_Tables_number 1
_cell_length_a 10.385
_cell_length_b 10.385
_cell_length_c 10.385
_cell_angle_alpha 154.33
_cell_angle_beta 154.33
_cell_angle_gamma 36.63
loop_
_symmetry_equiv_pos_as_xyz
'x,y,z'
loop_
_atom_site_label
_atom_site_type_symbol
_atom_site_fract_x
_atom_site_fract_y
_atom_site_fract_z
K1 K 0.000 0.000 0.000
K2 K 0.750 0.250 0.500
Ti1 Ti 0.341 0.625 0.216
Ti2 Ti 0.375 0.591 0.716
Ti3 Ti 0.409 0.125 0.784
Ti4 Ti 0.875 0.659 0.284
Cu1 Cu 0.250 0.750 0.500
Cu2 Cu 0.500 0.500 0.000

***

List of relative energies, unit eV/atom: #one 0.000; #two 0.029

***

#one
# K2TlCu (PBE, optimized geometry)
# - V: 36.07 Å³ per atom
# - Size of the total moment: 0.00 μB per formula unit
data_K2TlCu
_symmetry_space_group_name_H-M 'P 1'
_symmetry_Int_Tables_number 1
_cell_length_a 6.808
_cell_length_b 6.808
_cell_length_c 6.808
_cell_angle_alpha 144.42
_cell_angle_beta 127.23
_cell_angle_gamma 65.27
loop_
_symmetry_equiv_pos_as_xyz
'x,y,z'
loop_
_atom_site_label
_atom_site_type_symbol
_atom_site_fract_x
_atom_site_fract_y
_atom_site_fract_z
K1 K 0.000 0.000 0.000
K2 K 0.693 0.193 0.500
Tl1 Tl 0.290 0.790 0.500
Cu1 Cu 0.434 0.434 0.000

***

#two
# K2TlCu (PBE, optimized geometry)
# - V: 38.54 Å³ per atom
# - Size of the total moment: 0.00 μB per formula unit
data_K2TlCu
_symmetry_space_group_name_H-M 'P 1'
_symmetry_Int_Tables_number 1
_cell_length_a 5.485
_cell_length_b 4.521
_cell_length_c 6.792
_cell_angle_alpha 90.00
_cell_angle_beta 113.75
_cell_angle_gamma 90.00
loop_
_symmetry_equiv_pos_as_xyz
'x,y,z'
loop_
_atom_site_label
_atom_site_type_symbol
_atom_site_fract_x
_atom_site_fract_y
_atom_site_fract_z
K1 K 0.000 0.000 0.000
K2 K 0.296 0.500 0.593
Tl1 Tl 0.698 0.000 0.396
Cu1 Cu 0.586 0.500 0.175

***

#three
# K2TlCu (PBE, optimized geometry)
# - V: 34.61 Å³ per atom
# - Size of the total moment: 0.55 μB per formula unit
data_K2TlCu
_symmetry_space_group_name_H-M 'P 1'
_symmetry_Int_Tables_number 1
_cell_length_a 6.367
_cell_length_b 6.367
_cell_length_c 6.367
_cell_angle_alpha 132.60
_cell_angle_beta 132.01
_cell_angle_gamma 69.75
loop_
_symmetry_equiv_pos_as_xyz
'x,y,z'
loop_
_atom_site_label
_atom_site_type_symbol
_atom_site_fract_x
_atom_site_fract_y
_atom_site_fract_z
K1 K 0.248 0.248 0.000
K2 K 0.752 0.752 0.000
Tl1 Tl 0.500 0.000 0.500
Cu1 Cu 0.000 0.500 0.500

***

List of relative energies, unit eV/atom: #one 0.015; #two 0.000; #three 0.191